# BaCeMoN3, relaxed, DFT PBE-GGA
# calculated density	6900	kg/m3
# formation energy (no corrections)	-916.8	meV per atom
data_BaCeMoN3
_chemical_formula_sum 'Ba2 Ce2 Mo2 N6'
_cell_length_a 7.203
_cell_length_b 7.203
_cell_length_c 7.551
_cell_angle_alpha 104.69
_cell_angle_beta 104.69
_cell_angle_gamma 31.95
_symmetry_space_group_name_H-M 'P 1'
_symmetry_Int_Tables_number 1
_symmetry_space_group_name_Hall 'P 1'
loop_
_atom_site_label
_atom_site_type_symbol
_atom_site_fract_x
_atom_site_fract_y
_atom_site_fract_z
Ba1 Ba 0.140 0.140 0.072
Ba2 Ba 0.860 0.860 0.928
Ce1 Ce 0.160 0.160 0.576
Ce2 Ce 0.840 0.840 0.424
Mo1 Mo 0.498 0.498 0.328
Mo2 Mo 0.502 0.502 0.672
N1 N 0.005 0.005 0.303
N2 N 0.335 0.335 0.627
N3 N 0.349 0.349 0.216
N4 N 0.651 0.651 0.784
N5 N 0.665 0.665 0.373
N6 N 0.995 0.995 0.697


# Dy4TmMg, relaxed, DFT PBE-GGA
# calculated density	7825	kg/m3
# formation energy	0.02	eV per atom
# energy above the lowest structure with this stoichiometry	3.48	kJ per mole of atoms
data_Dy4TmMg
_chemical_formula_sum 'Dy8 Tm2 Mg2'
_cell_length_a 6.055
_cell_length_b 6.055
_cell_length_c 11.775
_cell_angle_alpha 104.89
_cell_angle_beta 104.89
_cell_angle_gamma 60.23
_symmetry_space_group_name_H-M 'P 1'
_symmetry_Int_Tables_number 1
_symmetry_space_group_name_Hall 'P 1'
loop_
_atom_site_label
_atom_site_type_symbol
_atom_site_fract_x
_atom_site_fract_y
_atom_site_fract_z
Dy1 Dy 0.164 0.672 0.501
Dy2 Dy 0.252 0.413 0.750
Dy3 Dy 0.328 0.836 0.999
Dy4 Dy 0.413 0.252 0.250
Dy5 Dy 0.587 0.748 0.750
Dy6 Dy 0.672 0.164 0.001
Dy7 Dy 0.748 0.587 0.250
Dy8 Dy 0.836 0.328 0.499
Tm1 Tm 0.000 0.500 0.000
Tm2 Tm 0.500 0.000 0.500
Mg1 Mg 0.083 0.917 0.250
Mg2 Mg 0.917 0.083 0.750


# NaPb2F6, relaxed, DFT PBE-GGA
# calculated density	6388	kg/m3
# formation energy (no corrections)	-2321.6	meV per atom
data_NaPb2F6
_chemical_formula_sum 'Na1 Pb2 F6'
_cell_length_a 7.037
_cell_length_b 7.037
_cell_length_c 7.037
_cell_angle_alpha 146.01
_cell_angle_beta 132.03
_cell_angle_gamma 60.09
_symmetry_space_group_name_H-M 'P 1'
_symmetry_Int_Tables_number 1
_symmetry_space_group_name_Hall 'P 1'
loop_
_atom_site_label
_atom_site_type_symbol
_atom_site_fract_x
_atom_site_fract_y
_atom_site_fract_z
Na1 Na 0.000 0.000 0.000
Pb1 Pb 0.338 0.338 0.000
Pb2 Pb 0.662 0.662 0.000
F1 F 0.085 0.830 0.255
F2 F 0.261 0.500 0.761
F3 F 0.426 0.170 0.255
F4 F 0.574 0.830 0.745
F5 F 0.739 0.500 0.239
F6 F 0.915 0.170 0.745


# CdNi2Sb, relaxed, DFT PBE-GGA
# calculated density	9071	kg/m3
# formation energy (no corrections)	32.1	meV per atom
data_CdNi2Sb
_chemical_formula_sum 'Cd1 Ni2 Sb1'
_cell_length_a 3.215
_cell_length_b 3.266
_cell_length_c 6.129
_cell_angle_alpha 90.00
_cell_angle_beta 90.00
_cell_angle_gamma 90.00
_symmetry_space_group_name_H-M 'P 1'
_symmetry_Int_Tables_number 1
_symmetry_space_group_name_Hall 'P 1'
loop_
_atom_site_label
_atom_site_type_symbol
_atom_site_fract_x
_atom_site_fract_y
_atom_site_fract_z
Cd1 Cd 0.000 0.000 0.000
Ni1 Ni 0.500 0.500 0.271
Ni2 Ni 0.500 0.500 0.729
Sb1 Sb 0.000 0.000 0.500


# Li2NdCd, relaxed, DFT PBE-GGA
# calculated density	4531	kg/m3
# formation energy	0.01	eV per atom
# energy above the lowest structure with this stoichiometry	11.93	kJ per mole of atoms
data_Li2NdCd
_chemical_formula_sum 'Li2 Nd1 Cd1'
_cell_length_a 10.271
_cell_length_b 10.271
_cell_length_c 10.271
_cell_angle_alpha 18.88
_cell_angle_beta 18.88
_cell_angle_gamma 18.88
_symmetry_space_group_name_H-M 'P 1'
_symmetry_Int_Tables_number 1
_symmetry_space_group_name_Hall 'P 1'
loop_
_atom_site_label
_atom_site_type_symbol
_atom_site_fract_x
_atom_site_fract_y
_atom_site_fract_z
Li1 Li 0.000 0.000 0.000
Li2 Li 0.188 0.188 0.188
Nd1 Nd 0.427 0.427 0.427
Cd1 Cd 0.594 0.594 0.594


# Sc4AlCl, relaxed, DFT PBE-GGA
# calculated density	2811	kg/m3
# formation energy (no corrections)	224.1	meV per atom
data_Sc4AlCl
_chemical_formula_sum 'Sc4 Al1 Cl1'
_cell_length_a 5.871
_cell_length_b 5.871
_cell_length_c 5.871
_cell_angle_alpha 60.00
_cell_angle_beta 60.00
_cell_angle_gamma 60.00
_symmetry_space_group_name_H-M 'P 1'
_symmetry_Int_Tables_number 1
_symmetry_space_group_name_Hall 'P 1'
loop_
_atom_site_label
_atom_site_type_symbol
_atom_site_fract_x
_atom_site_fract_y
_atom_site_fract_z
Sc1 Sc 0.122 0.122 0.122
Sc2 Sc 0.122 0.122 0.633
Sc3 Sc 0.122 0.633 0.122
Sc4 Sc 0.633 0.122 0.122
Al1 Al 0.750 0.750 0.750
Cl1 Cl 0.500 0.500 0.500


# Nd4CS3, relaxed, DFT PBE-GGA
# calculated density	6215	kg/m3
# formation energy (no corrections)	-1600.6	meV per atom
data_Nd4CS3
_chemical_formula_sum 'Nd4 C1 S3'
_cell_length_a 6.986
_cell_length_b 6.986
_cell_length_c 3.965
_cell_angle_alpha 90.00
_cell_angle_beta 90.00
_cell_angle_gamma 108.88
_symmetry_space_group_name_H-M 'P 1'
_symmetry_Int_Tables_number 1
_symmetry_space_group_name_Hall 'P 1'
loop_
_atom_site_label
_atom_site_type_symbol
_atom_site_fract_x
_atom_site_fract_y
_atom_site_fract_z
Nd1 Nd 0.223 0.223 0.500
Nd2 Nd 0.233 0.767 0.000
Nd3 Nd 0.767 0.233 0.000
Nd4 Nd 0.777 0.777 0.500
C1 C 0.000 0.000 0.000
S1 S 0.000 0.500 0.500
S2 S 0.500 0.000 0.500
S3 S 0.500 0.500 0.000


# UVSiTc, relaxed, DFT PBE-GGA
# calculated density	10775	kg/m3
# formation energy (no corrections)	-128.3	meV per atom
data_UVSiTc
_chemical_formula_sum 'U1 V1 Si1 Tc1'
_cell_length_a 4.489
_cell_length_b 4.489
_cell_length_c 4.489
_cell_angle_alpha 60.00
_cell_angle_beta 60.00
_cell_angle_gamma 60.00
_symmetry_space_group_name_H-M 'P 1'
_symmetry_Int_Tables_number 1
_symmetry_space_group_name_Hall 'P 1'
loop_
_atom_site_label
_atom_site_type_symbol
_atom_site_fract_x
_atom_site_fract_y
_atom_site_fract_z
U1 U 0.000 0.000 0.000
V1 V 0.750 0.750 0.750
Si1 Si 0.500 0.500 0.500
Tc1 Tc 0.250 0.250 0.250


Question: calculated density of number 8 (UVSiTc)?
Answer: 10775 kg/m3